(1)
! HgRu3Cl, optimized geometry, DFT PBE; values from VASP
&SYSTEM
  ibrav = 0, nat = 5, ntyp = 3
/
ATOMIC_SPECIES
Hg 200.59 Hg.upf
Ru 101.07 Ru.upf
Cl 35.45 Cl.upf
CELL_PARAMETERS angstrom
4.389 0.000 0.000
0.000 4.389 0.000
0.000 0.000 4.389
ATOMIC_POSITIONS angstrom
Hg 0.000 0.000 0.000
Ru 0.000 2.194 2.194
Ru 2.194 0.000 2.194
Ru 2.194 2.194 0.000
Cl 2.194 2.194 2.194
! E	-4.92	eV/atom
! magnetization	0.000	μB/f.u.
! ΔE to the lowest computed polymorph	0	meV/atom
! theoretical density	10.592	Mg/m³

(2)
! KReCl2, optimized geometry, DFT PBE; values from VASP
&SYSTEM
  ibrav = 0, nat = 4, ntyp = 3
/
ATOMIC_SPECIES
K 39.10 K.upf
Re 186.21 Re.upf
Cl 35.45 Cl.upf
CELL_PARAMETERS angstrom
1.734 1.001 8.722
-1.734 1.001 8.722
0.000 -2.002 8.722
ATOMIC_POSITIONS angstrom
K 0.000 0.000 0.000
Re 0.000 0.000 13.083
Cl 0.000 0.000 6.479
Cl 0.000 0.000 19.687
! E	-3.95	eV/atom
! magnetization	3.817	μB/f.u.
! ΔE to the lowest computed polymorph	445	meV/atom
! theoretical density	5.415	Mg/m³